This record from the Open Quantum Materials Database describes an optimized crystal structure of SrLuZnTe3. The functional is PBE-GGA. Values from VASP.

Cell and atoms, written as Quantum ESPRESSO input:
```
&SYSTEM
  ibrav = 0, nat = 12, ntyp = 4
/
ATOMIC_SPECIES
Lu 174.97 Lu.upf
Sr 87.62 Sr.upf
Te 127.60 Te.upf
Zn 65.41 Zn.upf
CELL_PARAMETERS angstrom
-7.290 2.984 0.145
4.670 -6.162 -1.511
-1.215 -3.474 10.413
ATOMIC_POSITIONS crystal
Lu 0.000 0.000 0.000
Lu 0.000 0.000 0.500
Sr 0.767 0.233 0.250
Sr 0.233 0.767 0.750
Te 0.362 0.638 0.054
Te 0.088 0.912 0.250
Te 0.362 0.638 0.446
Te 0.638 0.362 0.554
Te 0.912 0.088 0.750
Te 0.638 0.362 0.946
Zn 0.474 0.526 0.250
Zn 0.526 0.474 0.750
```

magnetization	0.02	μB per cell
E	-46.10	eV for the cell shown
SG	Cmcm (63)